A plane-wave DFT calculation with PBE-GGA was carried out for an optimized crystal structure of Ag2HgH2.

Properties
* energy above the most stable polymorph in this dataset: 0.000 eV per atom
* ρ: 9.86 g/cm³
* calculated total energy: -2.2116 eV per atom

Lattice parameters (Å, degrees): 3.5086 3.5086 11.4492 90.00 90.00 90.00
With the nearest neighbours (Å) after each atom.
Space group I4/mmm (No. 139)
One atom of each set of equivalent atoms:
Ag (0.0000, 0.0000, 0.1690) [4 per cell]  4 H 1.98
Hg (0.0000, 0.0000, 0.5000) [2 per cell]  8 Ag 3.15, 8 H 3.36, 4 Hg 3.51
H (0.0000, 0.5000, 0.2500) [4 per cell]  4 Ag 1.98